{
  "formula": "VCuNF2",
  "functional": "PBE+U",
  "state": "relaxed",
  "polymorph_energy_kj_per_mol_atoms": 59.1,
  "e_tot_ev_per_atom": -4.936,
  "dos_ef_per_ev_fu": 1.998,
  "sg": "P4/mmm, No. 123",
  "cell": [[4.017, 0.000, 0.000], [0.000, 4.017, 0.000], [0.000, 0.000, 3.761]],
  "species": ["F", "V", "N", "Cu", "F"],
  "frac_coords": [[0.500, 0.000, 0.000], [0.500, 0.500, 0.500], [0.000, 0.000, 0.500], [0.000, 0.000, 0.000], [0.000, 0.500, 0.000]]
}